The following is a GGA+U calculation of an optimized crystal structure of Pa2WO11, from Alexandria.

Results
Its theoretical density is 6.582 g/cm³. Its size of the total moment is 0.01 μB per atom. Its electronic total energy is -221.74 eV/cell. Its symmetry is P1, No. 1. The density of states at the Fermi level comes out at 9.86 states/eV per cell.

Structure (POSCAR):
```
Pa2WO11
1.0
0.579 3.745 10.864
-4.298 -0.229 6.404
2.617 -4.480 7.493
O Pa W
22 4 2
Direct
0.303 0.206 0.969
0.005 0.271 0.500
0.823 0.029 0.223
0.654 0.455 0.433
0.602 0.766 0.542
0.420 0.280 0.419
0.637 0.008 0.662
0.785 0.524 0.804
0.193 0.507 0.162
0.425 0.530 0.723
0.848 0.015 0.702
0.388 0.022 0.304
0.589 0.267 0.042
0.226 0.914 0.271
0.725 0.772 0.999
0.088 0.415 0.770
0.472 0.559 0.543
0.021 0.707 0.469
0.957 0.956 0.934
0.379 0.781 0.919
0.926 0.060 0.044
0.935 0.515 0.203
0.382 0.108 0.721
0.289 0.608 0.220
0.662 0.874 0.229
0.736 0.374 0.729
0.177 0.238 0.233
0.852 0.739 0.733
```